1.
# KTl3Ir (PBE-GGA, relaxed)
# Energy of formation from the pure elements ... 0.214 eV/f.u.
# D(E_F) ... 2.8 states/eV per cell
# Distance to the lowest polymorph of the same formula ... 0.0 meV/atom
# M_tot ... 0.00 Bohr magnetons per cell
# Calculated total energy ... -3.369 eV/atom
data_KTl3Ir
_chemical_formula_sum 'K1 Tl3 Ir1'
_cell_length_a 5.371
_cell_length_b 5.371
_cell_length_c 5.371
_cell_angle_alpha 90.00
_cell_angle_beta 90.00
_cell_angle_gamma 90.00
_symmetry_space_group_name_H-M 'P 1'
_symmetry_Int_Tables_number 1
_symmetry_space_group_name_Hall 'P 1'
loop_
_atom_site_label
_atom_site_type_symbol
_atom_site_fract_x
_atom_site_fract_y
_atom_site_fract_z
Tl1 Tl 0.000 0.000 0.500
Tl2 Tl 0.500 0.000 0.000
Tl3 Tl 0.000 0.500 0.000
Ir1 Ir 0.000 0.000 0.000
K1 K 0.500 0.500 0.500

2.
# K2TlIr (PBE-GGA, relaxed)
# Energy of formation from the pure elements ... 2.378 eV/f.u.
# D(E_F) ... 2.8 states/eV per cell
# Distance to the lowest polymorph of the same formula ... 320.1 meV/atom
# M_tot ... 0.00 Bohr magnetons per cell
# Calculated total energy ... -2.761 eV/atom
data_K2TlIr
_chemical_formula_sum 'K2 Tl1 Ir1'
_cell_length_a 4.392
_cell_length_b 4.352
_cell_length_c 6.961
_cell_angle_alpha 51.25
_cell_angle_beta 90.00
_cell_angle_gamma 90.00
_symmetry_space_group_name_H-M 'P 1'
_symmetry_Int_Tables_number 1
_symmetry_space_group_name_Hall 'P 1'
loop_
_atom_site_label
_atom_site_type_symbol
_atom_site_fract_x
_atom_site_fract_y
_atom_site_fract_z
K1 K 0.500 0.500 0.000
K2 K 0.000 0.000 0.000
Tl1 Tl 0.500 0.500 0.500
Ir1 Ir 0.000 0.000 0.500

3.
# K2TlIr (PBE-GGA, relaxed)
# Energy of formation from the pure elements ... 2.481 eV/f.u.
# D(E_F) ... 3.8 states/eV per cell
# Distance to the lowest polymorph of the same formula ... 345.8 meV/atom
# M_tot ... 0.32 Bohr magnetons per cell
# Calculated total energy ... -2.735 eV/atom
data_K2TlIr
_chemical_formula_sum 'K2 Tl1 Ir1'
_cell_length_a 3.121
_cell_length_b 3.121
_cell_length_c 11.338
_cell_angle_alpha 90.00
_cell_angle_beta 90.00
_cell_angle_gamma 89.91
_symmetry_space_group_name_H-M 'P 1'
_symmetry_Int_Tables_number 1
_symmetry_space_group_name_Hall 'P 1'
loop_
_atom_site_label
_atom_site_type_symbol
_atom_site_fract_x
_atom_site_fract_y
_atom_site_fract_z
K1 K 0.000 0.000 0.959
K2 K 0.000 0.000 0.541
Ir1 Ir 0.500 0.500 0.750
Tl1 Tl 0.500 0.500 0.250

4.
# KTlIr (PBE-GGA, relaxed)
# Energy of formation from the pure elements ... 1.299 eV/f.u.
# D(E_F) ... 1.8 states/eV per cell
# Distance to the lowest polymorph of the same formula ... 0.0 meV/atom
# M_tot ... 0.00 Bohr magnetons per cell
# Calculated total energy ... -3.675 eV/atom
data_KTlIr
_chemical_formula_sum 'K1 Tl1 Ir1'
_cell_length_a 6.646
_cell_length_b 6.646
_cell_length_c 6.646
_cell_angle_alpha 146.92
_cell_angle_beta 146.92
_cell_angle_gamma 47.47
_symmetry_space_group_name_H-M 'P 1'
_symmetry_Int_Tables_number 1
_symmetry_space_group_name_Hall 'P 1'
loop_
_atom_site_label
_atom_site_type_symbol
_atom_site_fract_x
_atom_site_fract_y
_atom_site_fract_z
K1 K 0.333 0.333 0.000
Ir1 Ir 0.067 0.067 0.000
Tl1 Tl 0.599 0.599 0.000

5.
# KTl3Ir (PBE-GGA, relaxed)
# Energy of formation from the pure elements ... 8.187 eV/f.u.
# D(E_F) ... 5.2 states/eV per cell
# Distance to the lowest polymorph of the same formula ... 1594.7 meV/atom
# M_tot ... 0.00 Bohr magnetons per cell
# Calculated total energy ... -1.774 eV/atom
data_KTl3Ir
_chemical_formula_sum 'K1 Tl3 Ir1'
_cell_length_a 5.786
_cell_length_b 5.786
_cell_length_c 5.786
_cell_angle_alpha 90.00
_cell_angle_beta 90.00
_cell_angle_gamma 90.00
_symmetry_space_group_name_H-M 'P 1'
_symmetry_Int_Tables_number 1
_symmetry_space_group_name_Hall 'P 1'
loop_
_atom_site_label
_atom_site_type_symbol
_atom_site_fract_x
_atom_site_fract_y
_atom_site_fract_z
Ir1 Ir 0.500 0.500 0.500
Tl1 Tl 0.000 0.000 0.500
Tl2 Tl 0.000 0.500 0.000
Tl3 Tl 0.500 0.000 0.000
K1 K 0.000 0.000 0.000

6.
# KTl2Ir (PBE-GGA, relaxed)
# Energy of formation from the pure elements ... 1.050 eV/f.u.
# D(E_F) ... 2.0 states/eV per cell
# M_tot ... 0.00 Bohr magnetons per cell
# Calculated total energy ... -3.410 eV/atom
data_KTl2Ir
_chemical_formula_sum 'K1 Tl2 Ir1'
_cell_length_a 4.511
_cell_length_b 4.511
_cell_length_c 8.073
_cell_angle_alpha 83.19
_cell_angle_beta 83.19
_cell_angle_gamma 42.48
_symmetry_space_group_name_H-M 'P 1'
_symmetry_Int_Tables_number 1
_symmetry_space_group_name_Hall 'P 1'
loop_
_atom_site_label
_atom_site_type_symbol
_atom_site_fract_x
_atom_site_fract_y
_atom_site_fract_z
Ir1 Ir 0.750 0.750 0.750
Tl1 Tl 0.485 0.485 0.565
Tl2 Tl 0.015 0.015 0.935
K1 K 0.250 0.250 0.250

7.
# KTl2Ir (PBE-GGA, relaxed)
# Energy of formation from the pure elements ... 2.162 eV/f.u.
# D(E_F) ... 4.6 states/eV per cell
# M_tot ... 0.00 Bohr magnetons per cell
# Calculated total energy ... -3.132 eV/atom
data_KTl2Ir
_chemical_formula_sum 'K1 Tl2 Ir1'
_cell_length_a 10.667
_cell_length_b 10.667
_cell_length_c 10.667
_cell_angle_alpha 18.24
_cell_angle_beta 18.24
_cell_angle_gamma 18.24
_symmetry_space_group_name_H-M 'P 1'
_symmetry_Int_Tables_number 1
_symmetry_space_group_name_Hall 'P 1'
loop_
_atom_site_label
_atom_site_type_symbol
_atom_site_fract_x
_atom_site_fract_y
_atom_site_fract_z
Ir1 Ir 0.508 0.508 0.508
Tl1 Tl 0.238 0.238 0.238
Tl2 Tl 0.993 0.993 0.993
K1 K 0.761 0.761 0.761

8.
# K2TlIr (PBE-GGA, relaxed)
# Energy of formation from the pure elements ... 1.357 eV/f.u.
# D(E_F) ... 1.9 states/eV per cell
# Distance to the lowest polymorph of the same formula ... 64.9 meV/atom
# M_tot ... 0.00 Bohr magnetons per cell
# Calculated total energy ... -3.016 eV/atom
data_K2TlIr
_chemical_formula_sum 'K2 Tl1 Ir1'
_cell_length_a 3.358
_cell_length_b 4.247
_cell_length_c 10.012
_cell_angle_alpha 90.00
_cell_angle_beta 90.00
_cell_angle_gamma 90.00
_symmetry_space_group_name_H-M 'P 1'
_symmetry_Int_Tables_number 1
_symmetry_space_group_name_Hall 'P 1'
loop_
_atom_site_label
_atom_site_type_symbol
_atom_site_fract_x
_atom_site_fract_y
_atom_site_fract_z
K1 K 0.000 0.000 0.924
K2 K 0.500 0.500 0.328
Ir1 Ir 0.500 0.500 0.645
Tl1 Tl 0.000 0.000 0.604

9.
# KTl2Ir (PBE-GGA, relaxed)
# Energy of formation from the pure elements ... 1.226 eV/f.u.
# D(E_F) ... 0.2 states/eV per cell
# M_tot ... 0.00 Bohr magnetons per cell
# Calculated total energy ... -3.366 eV/atom
data_KTl2Ir
_chemical_formula_sum 'K2 Tl4 Ir2'
_cell_length_a 6.511
_cell_length_b 6.511
_cell_length_c 9.317
_cell_angle_alpha 69.55
_cell_angle_beta 69.55
_cell_angle_gamma 90.00
_symmetry_space_group_name_H-M 'P 1'
_symmetry_Int_Tables_number 1
_symmetry_space_group_name_Hall 'P 1'
loop_
_atom_site_label
_atom_site_type_symbol
_atom_site_fract_x
_atom_site_fract_y
_atom_site_fract_z
K1 K 0.500 0.500 0.000
K2 K 0.250 0.750 0.500
Tl1 Tl 0.872 0.125 0.250
Tl2 Tl 0.875 0.122 0.750
Tl3 Tl 0.878 0.625 0.250
Tl4 Tl 0.375 0.128 0.750
Ir1 Ir 0.000 0.000 0.000
Ir2 Ir 0.750 0.250 0.500

10.
# KTl2Ir (PBE-GGA, relaxed)
# Energy of formation from the pure elements ... 2.658 eV/f.u.
# D(E_F) ... 2.6 states/eV per cell
# M_tot ... 0.00 Bohr magnetons per cell
# Calculated total energy ... -3.008 eV/atom
data_KTl2Ir
_chemical_formula_sum 'K1 Tl2 Ir1'
_cell_length_a 5.563
_cell_length_b 5.563
_cell_length_c 3.298
_cell_angle_alpha 90.00
_cell_angle_beta 90.00
_cell_angle_gamma 107.84
_symmetry_space_group_name_H-M 'P 1'
_symmetry_Int_Tables_number 1
_symmetry_space_group_name_Hall 'P 1'
loop_
_atom_site_label
_atom_site_type_symbol
_atom_site_fract_x
_atom_site_fract_y
_atom_site_fract_z
K1 K 0.000 0.500 0.500
Ir1 Ir 0.500 0.000 0.500
Tl1 Tl 0.000 0.000 0.000
Tl2 Tl 0.500 0.500 0.000

11.
# K2TlIr (PBE-GGA, relaxed)
# Energy of formation from the pure elements ... 2.821 eV/f.u.
# D(E_F) ... 5.4 states/eV per cell
# Distance to the lowest polymorph of the same formula ... 430.8 meV/atom
# M_tot ... 0.44 Bohr magnetons per cell
# Calculated total energy ... -2.650 eV/atom
data_K2TlIr
_chemical_formula_sum 'K2 Tl1 Ir1'
_cell_length_a 11.790
_cell_length_b 11.790
_cell_length_c 11.790
_cell_angle_alpha 15.92
_cell_angle_beta 15.92
_cell_angle_gamma 15.92
_symmetry_space_group_name_H-M 'P 1'
_symmetry_Int_Tables_number 1
_symmetry_space_group_name_Hall 'P 1'
loop_
_atom_site_label
_atom_site_type_symbol
_atom_site_fract_x
_atom_site_fract_y
_atom_site_fract_z
Ir1 Ir 0.750 0.750 0.750
K1 K 0.011 0.011 0.011
K2 K 0.489 0.489 0.489
Tl1 Tl 0.250 0.250 0.250

12.
# KTl2Ir (PBE-GGA, relaxed)
# Energy of formation from the pure elements ... 1.629 eV/f.u.
# D(E_F) ... 2.6 states/eV per cell
# M_tot ... 0.00 Bohr magnetons per cell
# Calculated total energy ... -3.265 eV/atom
data_KTl2Ir
_chemical_formula_sum 'K1 Tl2 Ir1'
_cell_length_a 5.129
_cell_length_b 5.129
_cell_length_c 5.129
_cell_angle_alpha 60.00
_cell_angle_beta 60.00
_cell_angle_gamma 60.00
_symmetry_space_group_name_H-M 'P 1'
_symmetry_Int_Tables_number 1
_symmetry_space_group_name_Hall 'P 1'
loop_
_atom_site_label
_atom_site_type_symbol
_atom_site_fract_x
_atom_site_fract_y
_atom_site_fract_z
Tl1 Tl 0.750 0.750 0.750
Tl2 Tl 0.250 0.250 0.250
Ir1 Ir 0.500 0.500 0.500
K1 K 0.000 0.000 0.000

13.
# KTl2Ir (PBE-GGA, relaxed)
# Energy of formation from the pure elements ... 1.474 eV/f.u.
# D(E_F) ... 3.5 states/eV per cell
# M_tot ... 0.00 Bohr magnetons per cell
# Calculated total energy ... -3.304 eV/atom
data_KTl2Ir
_chemical_formula_sum 'K1 Tl2 Ir1'
_cell_length_a 10.109
_cell_length_b 10.109
_cell_length_c 10.109
_cell_angle_alpha 19.87
_cell_angle_beta 19.87
_cell_angle_gamma 19.87
_symmetry_space_group_name_H-M 'P 1'
_symmetry_Int_Tables_number 1
_symmetry_space_group_name_Hall 'P 1'
loop_
_atom_site_label
_atom_site_type_symbol
_atom_site_fract_x
_atom_site_fract_y
_atom_site_fract_z
Ir1 Ir 0.250 0.250 0.250
Tl1 Tl 0.515 0.515 0.515
Tl2 Tl 0.985 0.985 0.985
K1 K 0.750 0.750 0.750

14.
# KTl2Ir (PBE-GGA, relaxed)
# Energy of formation from the pure elements ... 2.395 eV/f.u.
# D(E_F) ... 4.2 states/eV per cell
# M_tot ... 0.00 Bohr magnetons per cell
# Calculated total energy ... -3.074 eV/atom
data_KTl2Ir
_chemical_formula_sum 'K1 Tl2 Ir1'
_cell_length_a 4.741
_cell_length_b 4.778
_cell_length_c 4.375
_cell_angle_alpha 90.00
_cell_angle_beta 90.00
_cell_angle_gamma 90.00
_symmetry_space_group_name_H-M 'P 1'
_symmetry_Int_Tables_number 1
_symmetry_space_group_name_Hall 'P 1'
loop_
_atom_site_label
_atom_site_type_symbol
_atom_site_fract_x
_atom_site_fract_y
_atom_site_fract_z
Tl1 Tl 0.500 0.500 0.000
Tl2 Tl 0.000 0.000 0.000
K1 K 0.000 0.500 0.500
Ir1 Ir 0.500 0.000 0.500

15.
# KTlIr4 (PBE-GGA, relaxed)
# Energy of formation from the pure elements ... 3.291 eV/f.u.
# D(E_F) ... 8.3 states/eV per cell
# M_tot ... 0.00 Bohr magnetons per cell
# Calculated total energy ... -5.936 eV/atom
data_KTlIr4
_chemical_formula_sum 'K1 Tl1 Ir4'
_cell_length_a 5.387
_cell_length_b 5.387
_cell_length_c 5.387
_cell_angle_alpha 60.00
_cell_angle_beta 60.00
_cell_angle_gamma 60.00
_symmetry_space_group_name_H-M 'P 1'
_symmetry_Int_Tables_number 1
_symmetry_space_group_name_Hall 'P 1'
loop_
_atom_site_label
_atom_site_type_symbol
_atom_site_fract_x
_atom_site_fract_y
_atom_site_fract_z
Ir1 Ir 0.375 0.875 0.375
Ir2 Ir 0.375 0.375 0.875
Ir3 Ir 0.875 0.375 0.375
Ir4 Ir 0.375 0.375 0.375
Tl1 Tl 0.000 0.000 0.000
K1 K 0.750 0.750 0.750

16.
# KTl2Ir (PBE-GGA, relaxed)
# Energy of formation from the pure elements ... 1.067 eV/f.u.
# D(E_F) ... 1.2 states/eV per cell
# M_tot ... 0.00 Bohr magnetons per cell
# Calculated total energy ... -3.406 eV/atom
data_KTl2Ir
_chemical_formula_sum 'K1 Tl2 Ir1'
_cell_length_a 4.533
_cell_length_b 5.241
_cell_length_c 6.861
_cell_angle_alpha 67.57
_cell_angle_beta 90.00
_cell_angle_gamma 90.00
_symmetry_space_group_name_H-M 'P 1'
_symmetry_Int_Tables_number 1
_symmetry_space_group_name_Hall 'P 1'
loop_
_atom_site_label
_atom_site_type_symbol
_atom_site_fract_x
_atom_site_fract_y
_atom_site_fract_z
Tl1 Tl 0.500 0.363 0.399
Tl2 Tl 0.000 0.001 0.123
K1 K 0.500 0.665 0.796
Ir1 Ir 0.000 0.471 0.183

17.
# K2TlIr (PBE-GGA, relaxed)
# Energy of formation from the pure elements ... 2.087 eV/f.u.
# D(E_F) ... 1.2 states/eV per cell
# Distance to the lowest polymorph of the same formula ... 247.3 meV/atom
# M_tot ... 0.00 Bohr magnetons per cell
# Calculated total energy ... -2.834 eV/atom
data_K2TlIr
_chemical_formula_sum 'K2 Tl1 Ir1'
_cell_length_a 5.292
_cell_length_b 5.292
_cell_length_c 5.292
_cell_angle_alpha 60.00
_cell_angle_beta 60.00
_cell_angle_gamma 60.00
_symmetry_space_group_name_H-M 'P 1'
_symmetry_Int_Tables_number 1
_symmetry_space_group_name_Hall 'P 1'
loop_
_atom_site_label
_atom_site_type_symbol
_atom_site_fract_x
_atom_site_fract_y
_atom_site_fract_z
Tl1 Tl 0.750 0.750 0.750
K1 K 0.250 0.250 0.250
K2 K 0.000 0.000 0.000
Ir1 Ir 0.500 0.500 0.500

18.
# KTl2Ir2 (PBE-GGA, relaxed)
# Energy of formation from the pure elements ... 1.951 eV/f.u.
# D(E_F) ... 4.5 states/eV per cell
# M_tot ... 0.00 Bohr magnetons per cell
# Calculated total energy ... -4.320 eV/atom
data_KTl2Ir2
_chemical_formula_sum 'K2 Tl4 Ir4'
_cell_length_a 8.249
_cell_length_b 8.249
_cell_length_c 3.100
_cell_angle_alpha 90.00
_cell_angle_beta 90.00
_cell_angle_gamma 90.00
_symmetry_space_group_name_H-M 'P 1'
_symmetry_Int_Tables_number 1
_symmetry_space_group_name_Hall 'P 1'
loop_
_atom_site_label
_atom_site_type_symbol
_atom_site_fract_x
_atom_site_fract_y
_atom_site_fract_z
Tl1 Tl 0.336 0.164 0.500
Tl2 Tl 0.164 0.664 0.500
Tl3 Tl 0.664 0.836 0.500
Tl4 Tl 0.836 0.336 0.500
Ir1 Ir 0.130 0.370 0.000
Ir2 Ir 0.630 0.130 0.000
Ir3 Ir 0.870 0.630 0.000
Ir4 Ir 0.370 0.870 0.000
K1 K 0.000 0.000 0.000
K2 K 0.500 0.500 0.000

19.
# KTl2Ir (PBE-GGA, relaxed)
# Energy of formation from the pure elements ... 2.561 eV/f.u.
# D(E_F) ... 3.1 states/eV per cell
# M_tot ... 0.56 Bohr magnetons per cell
# Calculated total energy ... -3.033 eV/atom
data_KTl2Ir
_chemical_formula_sum 'K1 Tl2 Ir1'
_cell_length_a 6.259
_cell_length_b 6.259
_cell_length_c 3.030
_cell_angle_alpha 79.41
_cell_angle_beta 79.41
_cell_angle_gamma 116.36
_symmetry_space_group_name_H-M 'P 1'
_symmetry_Int_Tables_number 1
_symmetry_space_group_name_Hall 'P 1'
loop_
_atom_site_label
_atom_site_type_symbol
_atom_site_fract_x
_atom_site_fract_y
_atom_site_fract_z
Ir1 Ir 0.500 0.000 0.500
Tl1 Tl 0.000 0.000 0.000
Tl2 Tl 0.500 0.500 0.000
K1 K 0.000 0.500 0.500

20.
# K2TlIrW (PBE-GGA, relaxed)
# Energy of formation from the pure elements ... 10.593 eV/f.u.
# D(E_F) ... 4.5 states/eV per cell
# M_tot ... 5.79 Bohr magnetons per cell
# Calculated total energy ... -3.156 eV/atom
data_K2TlIrW
_chemical_formula_sum 'K2 Tl1 Ir1 W1'
_cell_length_a 6.333
_cell_length_b 5.414
_cell_length_c 6.333
_cell_angle_alpha 90.00
_cell_angle_beta 90.00
_cell_angle_gamma 90.00
_symmetry_space_group_name_H-M 'P 1'
_symmetry_Int_Tables_number 1
_symmetry_space_group_name_Hall 'P 1'
loop_
_atom_site_label
_atom_site_type_symbol
_atom_site_fract_x
_atom_site_fract_y
_atom_site_fract_z
K1 K 0.500 0.000 0.000
K2 K 0.000 0.000 0.500
W1 W 0.000 0.000 0.000
Ir1 Ir 0.500 0.500 0.500
Tl1 Tl 0.000 0.500 0.000